Here is TbAl6Cu6 after structural relaxation from the Alexandria database. Energies are from GGA-PBEsol.

abc: 4.9779 6.5629 6.5629
angles: 80.86 67.71 67.71
Element x y z (fractional)
Cu  0.5000  0.0000  0.5000
Cu  0.0000  0.5000  0.0000
Cu  0.5000  0.5000  0.0000
Cu  0.0000  0.0000  0.5000
Cu  0.5000  0.7687  0.2313
Cu  0.5000  0.2313  0.7687
Al  0.6519  0.3481  0.3481
Al  0.0000  0.3452  0.6548
Al  0.6991  0.8009  0.8009
Al  0.3009  0.1991  0.1991
Al  0.0000  0.6548  0.3452
Al  0.3481  0.6519  0.6519
Tb  0.0000  0.0000  0.0000

total moment: 0.00 μB/f.u.
calculated formation energy: -374 meV per atom